[1]
TaCuRh2 | PBEsol | optimized geometry

POSCAR file:
```
TaCuRh2
1.0
-1.878 -2.970 1.245
0.670 -1.770 -3.212
3.974 0.879 2.508
Rh Cu Ta
2 1 1
Direct
0.500 0.500 0.000
0.750 0.250 0.500
0.250 0.750 0.500
0.000 0.000 0.000
```

## Properties
DOS(E_F)	0.76	states/eV/atom
space group	I-4m2, No. 119
ΔE_f	-0.373	eV/atom
uncorrected energy	-8.6639	eV/atom


[2]
TaCuRh2 | PBEsol | optimized geometry

POSCAR file:
```
TaCuRh2
1.0
4.024 0.000 0.000
-2.012 3.991 -0.023
0.000 -2.009 3.487
Rh Cu Ta
2 1 1
Direct
0.250 0.500 0.750
0.750 0.500 0.250
0.000 0.000 0.000
0.500 0.000 0.500
```

## Properties
DOS(E_F)	0.48	states/eV/atom
space group	I4/mmm, No. 139
ΔE_f	-0.438	eV/atom
uncorrected energy	-8.7288	eV/atom


[3]
TaCu4Rh | PBEsol | optimized geometry

POSCAR file:
```
TaCu4Rh
1.0
-2.320 -3.603 -1.983
0.665 -4.396 1.589
-3.435 -2.193 2.383
Cu Rh Ta
4 1 1
Direct
0.625 0.625 0.126
0.126 0.625 0.625
0.625 0.126 0.625
0.625 0.625 0.625
0.250 0.250 0.250
0.000 0.000 0.000
```

## Properties
DOS(E_F)	0.24	states/eV/atom
space group	F-43m, No. 216
ΔE_f	-0.137	eV/atom
uncorrected energy	-6.4747	eV/atom


[4]
TaCuRh2 | PBEsol | optimized geometry

POSCAR file:
```
TaCuRh2
1.0
2.773 0.000 0.000
0.000 4.605 0.003
0.000 -1.775 4.388
Cu Rh Ta
1 2 1
Direct
0.000 0.500 0.500
0.000 0.000 0.000
0.500 0.000 0.500
0.500 0.500 0.000
```

## Properties
DOS(E_F)	0.69	states/eV/atom
space group	P2/m, No. 10
ΔE_f	-0.191	eV/atom
uncorrected energy	-8.4816	eV/atom


[5]
TaCuRh2 | PBEsol | optimized geometry

POSCAR file:
```
TaCuRh2
1.0
3.532 0.000 0.000
0.000 3.956 0.000
0.000 0.000 3.956
Rh Cu Ta
2 1 1
Direct
0.000 0.000 0.500
0.000 0.500 0.000
0.500 0.000 0.000
0.500 0.500 0.500
```

## Properties
DOS(E_F)	0.15	states/eV/atom
space group	P4/mmm, No. 123
ΔE_f	-0.458	eV/atom
uncorrected energy	-8.7485	eV/atom


[6]
Ta2CuRh2 | PBEsol | optimized geometry

POSCAR file:
```
Ta2CuRh2
1.0
-0.667 -0.002 3.558
2.413 -2.661 0.451
3.762 5.682 -1.134
Rh Cu Ta
2 1 2
Direct
0.250 0.750 0.500
0.750 0.250 0.500
0.000 0.000 0.000
0.394 0.394 0.789
0.606 0.606 0.211
```

## Properties
DOS(E_F)	0.84	states/eV/atom
space group	I4/mmm, No. 139
ΔE_f	0.333	eV/atom
uncorrected energy	-8.8098	eV/atom


[7]
TaCuRh2 | PBEsol | optimized geometry

POSCAR file:
```
TaCuRh2
1.0
-0.947 -1.910 -1.706
-0.958 -2.358 0.987
-8.691 2.080 0.311
Cu Rh Ta
1 2 1
Direct
0.253 0.253 0.242
0.998 0.998 0.005
0.749 0.749 0.754
0.500 0.500 0.499
```

## Properties
DOS(E_F)	1.26	states/eV/atom
space group	R3m, No. 160
ΔE_f	0.054	eV/atom
uncorrected energy	-8.2364	eV/atom


[8]
CuTc2Rh | PBEsol | optimized geometry

POSCAR file:
```
CuTc2Rh
1.0
2.651 0.000 0.000
1.325 2.296 0.000
1.325 0.765 8.756
Cu Rh Tc
1 1 2
Direct
0.500 0.500 0.500
0.000 0.000 0.000
0.250 0.250 0.250
0.750 0.750 0.750
```

## Properties
DOS(E_F)	0.90	states/eV/atom
space group	R-3m, No. 166
ΔE_f	0.117	eV/atom
uncorrected energy	-8.6345	eV/atom


Question: Which value of uncorrected energy does entry 2 give?
Answer: -8.7288 eV/atom


Question: Among the records above, which one has the lowest uncorrected energy?
Answer: Ta2CuRh2